(1)
# YAlZn3Au

An optimized crystal structure of YAlZn3Au (PBE, the Alexandria database).

a b c (Å): 7.129 7.129 5.815
angles (deg): 90.00 90.00 128.75
Fractional coordinates of all 12 atoms:
Y 0.201 0.799 0.750
Y 0.799 0.201 0.250
Al 0.424 0.576 0.750
Al 0.576 0.424 0.250
Zn 0.198 0.198 0.000
Zn 0.198 0.198 0.500
Zn 0.370 0.630 0.250
Zn 0.630 0.370 0.750
Zn 0.802 0.802 0.000
Zn 0.802 0.802 0.500
Au 0.163 0.837 0.250
Au 0.837 0.163 0.750

Values from the calculation:
Energy of formation   -111 kJ/mol of formula units

=====

(2)
# La2RhBr

An optimized crystal structure of La2RhBr (PBE, the Alexandria database).

a b c (Å): 8.498 8.498 8.498
angles (deg): 154.23 154.09 36.87
Fractional coordinates of all 4 atoms:
La 0.000 0.000 0.000
La 0.711 0.211 0.500
Rh 0.581 0.581 0.000
Br 0.332 0.832 0.500

Values from the calculation:
ΔE_f (raw)   -3.85 eV/f.u.

=====

(3)
# Be2Ru

An optimized crystal structure of Be2Ru (PBE, the Alexandria database).

a b c (Å): 4.472 4.472 4.472
angles (deg): 118.17 118.17 93.20
Fractional coordinates of all 6 atoms:
Be 0.180 0.680 0.860
Be 0.320 0.180 0.500
Be 0.680 0.820 0.500
Be 0.820 0.320 0.140
Ru 0.250 0.250 0.000
Ru 0.750 0.750 0.000

Values from the calculation:
Energy of formation   -7 kJ/mol of formula units

=====

no.,uncorrected energy (eV/atom)
1,-3.0752
2,-5.6828
3,-5.5999